## Nd2GaSn3 (PBE)

Data for a relaxed structure of Nd2GaSn3.

E_tot (eV per atom): -4.424
Size of the total moment (μB per cell): 0.000
Energy relative to the elements (eV per atom): -0.329

Cell: 5.1406 6.4057 6.7802 Å, 118.19 112.28 90.00°
Closest atoms and distances in Å follow each position.
Sites, in units of the cell vectors:
Nd: 0.6915 0.1915 0.3830  6 Sn 3.16-3.30, 1 Ga 3.33
Ga: 0.0000 0.5000 0.0000  6 Sn 2.97-3.20
Nd: 0.3085 0.8085 0.6170  6 Sn 3.16-3.30, 1 Ga 3.33
Sn: 0.0000 0.0000 0.0000  2 Ga 3.20, 4 Nd 3.30
Sn: 0.6375 0.6375 0.2751  2 Ga 2.97, 1 Sn 2.97, 4 Nd 3.16-3.26
Sn: 0.3625 0.3625 0.7249  2 Ga 2.97, 1 Sn 2.97, 4 Nd 3.16-3.26

## La8Sc2Cd (PBE)

Data for a relaxed structure of La8Sc2Cd.

E_tot (eV per atom): -4.779
Size of the total moment (μB per cell): 0.000
Energy relative to the elements (eV per atom): 0.039

Cell: 5.6329 7.5965 9.8962 Å, 112.57 106.53 90.00°
Closest atoms and distances in Å follow each position.
Sites, in units of the cell vectors:
La: 0.6365 0.4252 0.2729  2 La 3.21-3.58, 1 Cd 3.23, 2 Sc 3.39
Sc: 0.1939 0.6939 0.3877  10 La 3.39-3.80
La: 0.0000 0.2697 0.0000  2 Cd 3.48, 7 La 3.50-3.74, 2 Sc 3.80
La: 0.0000 0.7303 0.0000  2 Cd 3.48, 7 La 3.50-3.74, 2 Sc 3.80
La: 0.3635 0.1522 0.7271  2 La 3.21-3.58, 1 Cd 3.23, 2 Sc 3.39
La: 0.1797 0.1797 0.3594  4 Sc 3.57-3.81, 8 La 3.58-3.74
La: 0.6365 0.8478 0.2729  2 La 3.21-3.58, 1 Cd 3.23, 2 Sc 3.39
La: 0.3635 0.5748 0.7271  2 La 3.21-3.58, 1 Cd 3.23, 2 Sc 3.39
La: 0.8203 0.8203 0.6406  4 Sc 3.57-3.81, 8 La 3.58-3.74
Sc: 0.8061 0.3061 0.6123  10 La 3.39-3.80
Cd: 0.5000 0.0000 0.0000  8 La 3.23-3.48

## PuTaV (PBE)

Data for a relaxed structure of PuTaV.

E_tot (eV per atom): -11.484
E above lowest polymorph (meV/atom): 0.0
Size of the total moment (μB per cell): 4.448
Energy relative to the elements (eV per atom): 0.284

Cell: 3.1783 3.1783 5.9096 Å, 105.60 105.60 90.00°
Closest atoms and distances in Å follow each position.
Sites, in units of the cell vectors:
Pu: 0.3267 0.3267 0.6535  4 V 2.92, 4 Ta 3.07, 4 Pu 3.18
V: 0.6558 0.6558 0.3116  4 Ta 2.71, 4 Pu 2.92
Ta: 0.0175 0.0175 0.0350  4 V 2.71